VASP calculation (GGA-PBE) on crystalline LiPrSiPt2 at its relaxed geometry.

## Properties
- density (g/cm³) = 10.2
- N(E_F) (states/eV/cell) = 3.521
- final energy (eV/atom) = -5.782

Lattice parameters (Å, degrees): 4.1756 4.1756 10.5548 90.00 90.00 90.00
Last column: nearest neighbours and their distance in Å.
Space group I-4m2 (No. 119)
One atom of each set of equivalent atoms:
Li: 0.0000 0.0000 0.0000 (multiplicity 2)  4 Pt 2.45
Pr: 0.0000 0.5000 0.7500 (multiplicity 2)  8 Pt 3.25, 4 Li 3.36, 4 Si 3.36
Si: 0.0000 0.0000 0.5000 (multiplicity 2)  4 Pt 2.45
Pt: 0.0000 0.5000 0.1210 (multiplicity 4)  2 Li 2.45, 2 Si 2.45, 1 Pt 2.72